#i
Zr3TlH2 (PBE, optimized geometry); volume = 103 Å³/f.u.; spin magnetization = 0.0 μB/cell; space-group type = P2_1/m (11)
1.0
3.2297 0.0000 0.0000
0.0000 6.0671 0.5416
0.0000 -1.7713 10.3188
Zr H Tl
6 4 2
direct
0.7500 0.6129 0.8769
0.2500 0.1885 0.3869
0.2500 0.0633 0.8689
0.7500 0.9367 0.1311
0.2500 0.3871 0.1231
0.7500 0.8115 0.6131
0.7500 0.0288 0.3247
0.2500 0.9712 0.6753
0.7500 0.5891 0.0742
0.2500 0.4109 0.9258
0.2500 0.6842 0.3607
0.7500 0.3158 0.6393

***

#ii
Zr3TlH2 (PBE, optimized geometry); volume = 94 Å³/f.u.; spin magnetization = 0.0 μB/cell; space-group type = I4/mmm (139)
1.0
1.2890 -4.1841 -0.4270
1.5843 0.0694 4.1032
-5.7507 0.5557 -0.1469
Zr Tl H
3 1 2
direct
0.2500 0.7500 0.5000
0.7500 0.2500 0.5000
0.5000 0.5000 0.0000
0.0000 0.0000 0.0000
0.7095 0.7095 0.4190
0.2905 0.2905 0.5810

***

The most stable arrangement is #ii, and the next structure is 12.1 kJ/mol of atoms less stable.